A plane-wave DFT calculation with GGA-PBEsol was carried out for a geometry-optimized BeAu2N structure.

Cell: 4.1165 4.1165 7.3193 Å, 106.33 106.33 90.00°
Last column: nearest neighbours and their distance in Å.
Sites, in units of the cell vectors:
Be 0.7500 0.2500 0.5000  4 Au 2.27
Be 0.5000 0.5000 0.0000  4 Au 2.27
Au 0.3499 0.8750 0.2500  2 N 2.18, 2 Be 2.27
Au 0.9001 0.3750 0.2500  2 N 2.18, 2 Be 2.27
Au 0.1250 0.0999 0.7500  2 N 2.18, 2 Be 2.27
Au 0.6250 0.6501 0.7500  2 N 2.18, 2 Be 2.27
N 0.2500 0.7500 0.5000  4 Au 2.18
N 0.0000 0.0000 0.0000  4 Au 2.18

Results
- Uncorrected formation energy: 0.8437 eV per atom
- Volume: 14.2 A^3/atom
- Density of states at the Fermi level: 1.61 states/eV/f.u.
- SG: No. 122